# 1
Entry from Alexandria via LeMat-Bulk: an optimized crystal structure of LaRuSe3 (PBE).

Cell and atoms, written as POSCAR:
```
LaRuSe3
1.0
5.687 0.000 0.000
0.000 5.687 0.000
0.000 0.000 5.687
Se La Ru
3 1 1
direct
0.000 0.500 0.000
0.000 0.000 0.500
0.500 0.000 0.000
0.000 0.000 0.000
0.500 0.500 0.500
```

DOS at the Fermi energy, states/eV/f.u.: 10.4
Magnetization, μB/atom: 0.771
Excess energy over the best structure of this formula in the dataset, eV/atom: 1.221
Raw formation energy, meV/atom: 544

# 2
Entry from Alexandria via LeMat-Bulk: an optimized crystal structure of LaRu2Se (PBE).

Cell and atoms, written as POSCAR:
```
LaRu2Se
1.0
-2.065 -1.254 -1.893
2.566 -2.835 -0.922
-2.238 -3.596 4.823
Se Ru La
1 2 1
direct
0.000 0.000 0.445
0.500 0.500 0.221
0.000 0.000 0.063
0.500 0.500 0.771
```

DOS at the Fermi energy, states/eV/f.u.: 2.9
Magnetization, μB/atom: 0.000
Raw formation energy, meV/atom: -84

# 3
Entry from Alexandria via LeMat-Bulk: an optimized crystal structure of La6RuSe5 (PBE).

Cell and atoms, written as POSCAR:
```
La6RuSe5
1.0
7.367 0.184 1.121
1.810 6.295 3.668
0.121 0.079 7.487
La Se Ru
6 5 1
direct
0.238 0.921 0.684
0.762 0.395 0.684
0.759 0.766 0.000
0.238 0.605 0.316
0.762 0.079 0.316
0.241 0.234 0.000
0.000 0.666 0.669
0.500 0.174 0.651
0.500 0.826 0.349
0.000 0.334 0.331
0.500 0.500 0.000
0.000 0.000 0.000
```

DOS at the Fermi energy, states/eV/f.u.: 10.9
Magnetization, μB/atom: 0.000
Raw formation energy, meV/atom: -1695